This record from the Alexandria database describes an optimized crystal structure of Pr2DyErSe4. The functional is GGA-PBE.

Output
Formation energy without anion corrections: -1.791 eV/atom
Final energy: -5.87 eV per atom

a = 4.0793 Å, b = 7.1092 Å, c = 7.4135 Å
α = 108.46°, β = 90.00°, γ = 90.00°
Positions (direct):
Pr 0.5000 0.0000 0.5000
Pr 0.0000 0.5000 0.5000
Dy 0.5000 0.5000 0.0000
Er 0.0000 0.0000 0.0000
Se 0.5000 0.2412 0.2296
Se 0.5000 0.7588 0.7704
Se 0.0000 0.2548 0.7692
Se 0.0000 0.7452 0.2308